Computed, not measured: Y3ErSc2Sb2Os after structural relaxation at the PBE level of DFT.

```
data_Y3ErSc2Sb2Os
_symmetry_space_group_name_H-M 'A m m 2'
_symmetry_Int_Tables_number 38
_symmetry_space_group_name_Hall 'A 2 -2'
_cell_length_a 4.1882
_cell_length_b 13.7289
_cell_length_c 7.9595
_cell_angle_alpha 90.00
_cell_angle_beta 90.00
_cell_angle_gamma 90.00
loop_
_atom_site_label
_atom_site_type_symbol
_atom_site_fract_x
_atom_site_fract_y
_atom_site_fract_z
_atom_site_occupancy
Y1 Y 0.0000 0.0000 0.0000 1
Y2 Y 0.0000 0.1996 0.4099 1
Er1 Er 0.5000 0.0000 0.3808 1
Sc1 Sc 0.5000 0.1153 0.7241 1
Sb1 Sb 0.5000 0.1687 0.1053 1
Os1 Os 0.0000 0.0000 0.6235 1
```

Calculated values
Total DFT energy (no corrections) ... -6.971 eV per atom
Crystal system ... orthorhombic